(1)
DFT (PBE) results for an optimized crystal structure of Li2MgIr.

Computed properties:
magnetic moment = 0.002 μB/cell
E_tot = -3.717 eV per atom
symmetry = F-43m, No. 216

Lattice parameters (Å, degrees): 4.363 4.363 4.363 60.00 60.00 60.00
Fractional positions:
Li 0.750 0.750 0.750
Ir 0.250 0.250 0.250
Mg 0.500 0.500 0.500
Li 0.000 0.000 0.000

=====

(2)
DFT (PBE) results for an optimized crystal structure of Li2Mg2NiIrPb2.

Computed properties:
magnetic moment = 0.000 μB/cell
E_tot = -3.800 eV per atom
symmetry = P-4m2, No. 115

Lattice parameters (Å, degrees): 4.589 4.589 6.480 90.00 90.00 90.00
Fractional positions:
Pb 0.000 0.500 0.762
Pb 0.500 0.000 0.238
Li 0.500 0.500 0.500
Li 0.000 0.000 0.000
Mg 0.500 0.000 0.744
Ni 0.500 0.500 0.000
Mg 0.000 0.500 0.256
Ir 0.000 0.000 0.500

=====

(3)
DFT (PBE) results for an optimized crystal structure of Li2Mg2NiSn2Ir.

Computed properties:
magnetic moment = 0.001 μB/cell
E_tot = -4.074 eV per atom
symmetry = P-4m2, No. 115

Lattice parameters (Å, degrees): 4.492 4.492 6.337 90.00 90.00 90.00
Fractional positions:
Li 0.000 0.000 0.000
Ir 0.000 0.000 0.500
Sn 0.000 0.500 0.756
Mg 0.500 0.000 0.751
Li 0.500 0.500 0.500
Mg 0.000 0.500 0.249
Ni 0.500 0.500 0.000
Sn 0.500 0.000 0.244

=====

(4)
DFT (PBE) results for an optimized crystal structure of Li2Mg2Tl2NiIr.

Computed properties:
magnetic moment = 0.010 μB/cell
E_tot = -3.424 eV per atom
symmetry = P-4m2, No. 115

Lattice parameters (Å, degrees): 4.558 4.558 6.422 90.00 90.00 90.00
Fractional positions:
Li 0.000 0.000 0.500
Tl 0.000 0.500 0.264
Tl 0.500 0.000 0.736
Ni 0.500 0.500 0.500
Mg 0.000 0.500 0.756
Li 0.500 0.500 0.000
Ir 0.000 0.000 0.000
Mg 0.500 0.000 0.244

=====

(5)
DFT (PBE) results for an optimized crystal structure of LiMg2Zn2NiIr2.

Computed properties:
magnetic moment = 0.002 μB/cell
E_tot = -4.150 eV per atom
symmetry = P-4m2, No. 115

Lattice parameters (Å, degrees): 4.311 4.311 6.044 90.00 90.00 90.00
Fractional positions:
Li 0.000 0.000 0.500
Ni 0.500 0.500 0.000
Mg 0.000 0.500 0.244
Zn 0.000 0.500 0.757
Mg 0.500 0.000 0.756
Ir 0.500 0.500 0.500
Zn 0.500 0.000 0.243
Ir 0.000 0.000 0.000

=====

(6)
DFT (PBE) results for an optimized crystal structure of Li3Mg2IrO6.

Computed properties:
magnetic moment = 2.000 μB/cell
E_tot = -5.848 eV per atom
symmetry = C2/m, No. 12

Lattice parameters (Å, degrees): 5.137 5.137 5.090 99.73 99.73 119.98
Fractional positions:
O 0.754 0.754 0.231
Li 0.166 0.834 0.500
Li 0.500 0.500 0.500
O 0.922 0.599 0.765
O 0.599 0.922 0.765
Li 0.834 0.166 0.500
O 0.246 0.246 0.769
Ir 0.000 0.000 0.000
O 0.401 0.078 0.235
O 0.078 0.401 0.235
Mg 0.333 0.667 0.000
Mg 0.667 0.333 0.000

=====

Question: Which of these has the highest magnetic moment?
Answer: Li3Mg2IrO6

=====

Please write out number 4 again, unchanged.
DFT (PBE) results for an optimized crystal structure of Li2Mg2Tl2NiIr.

Computed properties:
magnetic moment = 0.010 μB/cell
E_tot = -3.424 eV per atom
symmetry = P-4m2, No. 115

Lattice parameters (Å, degrees): 4.558 4.558 6.422 90.00 90.00 90.00
Fractional positions:
Li 0.000 0.000 0.500
Tl 0.000 0.500 0.264
Tl 0.500 0.000 0.736
Ni 0.500 0.500 0.500
Mg 0.000 0.500 0.756
Li 0.500 0.500 0.000
Ir 0.000 0.000 0.000
Mg 0.500 0.000 0.244

=====

Question: Which formula does entry 2 have?
Answer: Li2Mg2NiIrPb2

=====

Question: Which value of magnetic moment does entry 1 give?
Answer: 0.002 μB/cell